(one)
DFT (PBE-GGA) results for BeH2 after structural relaxation.

Cell: 5.117 4.587 2.685 Å, 85.20 63.28 31.52°
Element x y z (fractional)
Be1 0.000 0.000 0.000
H1 0.378 0.378 0.622
H2 0.622 0.622 0.378

- Magnetization: 0.00 μB/f.u.

=====

(two)
DFT (PBE-GGA) results for BeH2 after structural relaxation.

Cell: 4.100 4.100 4.100 Å, 122.31 122.31 86.04°
Element x y z (fractional)
Be1 0.000 0.000 0.000
Be2 0.750 0.250 0.500
H1 0.053 0.625 0.928
H2 0.375 0.303 0.428
H3 0.697 0.125 0.072
H4 0.875 0.947 0.572

- Magnetization: 0.00 μB/f.u.

=====

(three)
DFT (PBE-GGA) results for BeH2 after structural relaxation.

Cell: 2.391 4.160 5.114 Å, 88.33 77.34 89.90°
Element x y z (fractional)
Be1 0.077 0.138 0.334
Be2 0.923 0.862 0.666
H1 0.056 0.790 0.382
H2 0.356 0.753 0.809
H3 0.644 0.247 0.191
H4 0.944 0.210 0.618

- Magnetization: 0.00 μB/f.u.

=====

Most stable to least stable, the ends of the list are (two) and (one).

=====

(one)
DFT (PBE-GGA) results for HfBeH2 after structural relaxation.

Cell: 5.480 5.480 5.480 Å, 138.30 138.30 60.44°
Element x y z (fractional)
Hf1 0.000 0.000 0.000
Hf2 0.750 0.250 0.500
Be1 0.250 0.750 0.500
Be2 0.500 0.500 0.000
H1 0.217 0.625 0.092
H2 0.375 0.467 0.592
H3 0.533 0.125 0.908
H4 0.875 0.783 0.408

- Magnetization: 0.00 μB/f.u.

=====

(two)
DFT (PBE-GGA) results for HfBeH2 after structural relaxation.

Cell: 3.590 3.590 3.590 Å, 60.00 60.00 60.00°
Element x y z (fractional)
Hf1 0.000 0.000 0.000
Be1 0.500 0.500 0.500
H1 0.250 0.250 0.250
H2 0.750 0.750 0.750

- Magnetization: 0.00 μB/f.u.

=====

Most stable to least stable, the ends of the list are (one) and (two).